! GGA-PBE Pu3BiH3, optimized geometry; values from VASP
&SYSTEM
  ibrav = 0, nat = 14, ntyp = 3
/
ATOMIC_SPECIES
Pu 244.00 Pu.upf
Bi 208.98 Bi.upf
H 1.01 H.upf
CELL_PARAMETERS angstrom
3.376 1.949 7.132
-3.376 1.949 7.132
0.000 -3.898 7.132
ATOMIC_POSITIONS crystal
Pu 0.102 0.411 0.790
Pu 0.210 0.898 0.589
Pu 0.411 0.790 0.102
Pu 0.589 0.210 0.898
Pu 0.790 0.102 0.411
Pu 0.898 0.589 0.210
Bi 0.333 0.333 0.333
Bi 0.667 0.667 0.667
H 0.126 0.768 0.483
H 0.232 0.517 0.874
H 0.483 0.126 0.768
H 0.517 0.874 0.232
H 0.768 0.483 0.126
H 0.874 0.232 0.517
! Magnetic moment (μB per cell): 35.9
! Crystal system: trigonal
! E above lowest polymorph (eV/atom): 0.217
! Electronic total energy (eV/cell): -116.54
! Symmetry: R-3, No. 148

=====

! GGA-PBE SmHoSn, optimized geometry; values from VASP
&SYSTEM
  ibrav = 0, nat = 3, ntyp = 3
/
ATOMIC_SPECIES
Sm 150.36 Sm.upf
Ho 164.93 Ho.upf
Sn 118.71 Sn.upf
CELL_PARAMETERS angstrom
-2.056 2.056 4.963
2.056 -2.056 4.963
2.056 2.056 -4.963
ATOMIC_POSITIONS crystal
Sm 0.000 0.000 0.000
Ho 0.684 0.684 0.000
Sn 0.338 0.338 0.000
! Magnetic moment (μB per cell): 0.4
! Crystal system: tetragonal
! E above lowest polymorph (eV/atom): 0.174
! Electronic total energy (eV/cell): -14.60
! Symmetry: I4mm, No. 107

=====

! GGA-PBE AcSnO, optimized geometry; values from VASP
&SYSTEM
  ibrav = 0, nat = 3, ntyp = 3
/
ATOMIC_SPECIES
Ac 227.00 Ac.upf
Sn 118.71 Sn.upf
O 16.00 O.upf
CELL_PARAMETERS angstrom
4.069 0.000 0.000
-2.035 3.524 0.000
0.000 0.000 6.240
ATOMIC_POSITIONS crystal
Ac 0.000 0.000 0.000
Sn 0.333 0.667 0.500
O 0.667 0.333 0.000
! Formation energy from raw total energies (eV/atom): -1.643
! Magnetic moment (μB per cell): 0.6
! Crystal system: hexagonal
! E above lowest polymorph (eV/atom): 0.489
! Electronic total energy (eV/cell): -18.00
! Symmetry: P-6m2, No. 187

=====

! GGA-PBE SnPd3Au3, optimized geometry; values from VASP
&SYSTEM
  ibrav = 0, nat = 14, ntyp = 3
/
ATOMIC_SPECIES
Sn 118.71 Sn.upf
Pd 106.42 Pd.upf
Au 196.97 Au.upf
CELL_PARAMETERS angstrom
4.634 -4.527 0.000
4.634 4.527 0.000
-0.001 0.000 6.078
ATOMIC_POSITIONS crystal
Sn 0.245 0.245 0.001
Sn 0.755 0.755 0.999
Pd 0.000 0.500 0.245
Pd 0.000 0.500 0.755
Pd 0.500 0.000 0.245
Pd 0.500 0.000 0.755
Pd 0.500 0.500 0.244
Pd 0.500 0.500 0.756
Au 0.211 0.789 0.000
Au 0.227 0.773 0.500
Au 0.230 0.230 0.499
Au 0.770 0.770 0.501
Au 0.773 0.227 0.500
Au 0.789 0.211 0.000
! Magnetic moment (μB per cell): 0.0
! Crystal system: monoclinic
! Electronic total energy (eV/cell): -61.66
! Symmetry: C2/m, No. 12